No. 1
Li4Cu2Ge (GGA-PBE, relaxed); volume = 19.61 Å³ per atom; energy relative to the elements = 0.262 eV per atom; total DFT energy (no corrections) = -18.632 eV for the cell shown
1.0
4.663 0.000 0.000
0.000 4.663 0.000
2.332 2.332 6.312
Cu Ge Li
2 1 4
direct
0.404 0.404 0.191
0.596 0.596 0.809
0.000 0.000 0.000
0.801 0.801 0.398
0.000 0.500 0.000
0.500 0.000 0.000
0.199 0.199 0.602


No. 2
Li2Cu5Ge (GGA-PBE, relaxed); volume = 12.50 Å³ per atom; energy relative to the elements = -0.086 eV per atom; total DFT energy (no corrections) = -59.220 eV for the cell shown
1.0
-2.478 2.886 0.760
-3.595 -3.374 1.090
2.977 -0.018 9.769
Li Cu Ge
4 10 2
direct
0.500 0.769 0.127
0.500 0.231 0.873
0.500 0.731 0.627
0.500 0.269 0.373
0.000 0.476 0.751
0.500 0.236 0.626
0.500 0.264 0.126
0.000 0.500 0.500
0.500 0.764 0.374
0.000 0.000 0.000
0.500 0.736 0.874
0.000 0.024 0.251
0.000 0.976 0.749
0.000 0.524 0.249
0.000 0.500 0.000
0.000 0.000 0.500


No. 3
Li3Cu2Ge3 (GGA-PBE, relaxed); volume = 15.47 Å³ per atom; energy relative to the elements = -0.175 eV per atom; total DFT energy (no corrections) = -58.375 eV for the cell shown
1.0
4.246 0.000 0.000
-2.123 4.566 0.000
0.000 0.000 12.769
Cu Ge Li
4 6 6
direct
0.781 0.561 0.894
0.219 0.439 0.106
0.219 0.439 0.394
0.781 0.561 0.606
0.397 0.795 0.567
0.603 0.205 0.433
0.397 0.795 0.933
0.405 0.811 0.250
0.603 0.205 0.067
0.595 0.189 0.750
0.915 0.829 0.097
0.085 0.171 0.903
0.915 0.829 0.403
0.295 0.590 0.750
0.705 0.410 0.250
0.085 0.171 0.597


No. 4
Li2Cu8Ge (GGA-PBE, relaxed); volume = 13.11 Å³ per atom; energy relative to the elements = 0.086 eV per atom; total DFT energy (no corrections) = -40.273 eV for the cell shown
1.0
4.305 1.334 0.000
2.240 6.383 0.000
1.120 3.191 5.890
Cu Li Ge
8 2 1
direct
0.853 0.101 0.242
0.317 0.417 0.000
0.500 0.793 0.415
0.683 0.583 0.000
0.147 0.657 0.242
0.500 0.207 0.585
0.147 0.899 0.758
0.853 0.343 0.758
0.000 0.310 0.380
0.000 0.690 0.620
0.500 0.000 0.000